No. 1
Computed, not measured: a geometry-optimized LiHfGa structure at the GGA-PBE level of DFT.

Lattice parameters (Å, degrees): 3.3462 4.1392 15.5178 90.00 90.00 90.00
Fractional coordinates of all 12 atoms:
Li (0.0000, 0.0000, 0.0000)
Li (0.0000, 0.0000, 0.5000)
Li (0.5000, 0.5000, 0.0000)
Li (0.5000, 0.5000, 0.5000)
Hf (0.0000, 0.5000, 0.1882)
Hf (0.0000, 0.5000, 0.8118)
Hf (0.5000, 0.0000, 0.3118)
Hf (0.5000, 0.0000, 0.6882)
Ga (0.0000, 0.5000, 0.3723)
Ga (0.0000, 0.5000, 0.6277)
Ga (0.5000, 0.0000, 0.1277)
Ga (0.5000, 0.0000, 0.8723)

Its volume is 17.91 Å³ per atom. The formation energy comes out at -0.285 eV/atom. The uncorrected energy is -5.250 eV/atom. The energy above the most stable polymorph in this dataset is 7 kJ/mol of formula units.

No. 2
Computed, not measured: a geometry-optimized LiHf2Ga2 structure at the GGA-PBE level of DFT.

Lattice parameters (Å, degrees): 8.2911 8.2911 2.9520 90.00 90.00 90.00
Fractional coordinates of all 10 atoms:
Li (0.0000, 0.0000, 0.0000)
Li (0.5000, 0.5000, 0.0000)
Hf (0.1293, 0.3707, 0.0000)
Hf (0.3707, 0.8707, 0.0000)
Hf (0.6293, 0.1293, 0.0000)
Hf (0.8707, 0.6293, 0.0000)
Ga (0.1689, 0.6689, 0.5000)
Ga (0.3311, 0.1689, 0.5000)
Ga (0.6689, 0.8311, 0.5000)
Ga (0.8311, 0.3311, 0.5000)

Its volume is 20.29 Å³ per atom. The formation energy comes out at -0.138 eV/atom. The uncorrected energy is -5.713 eV/atom. The energy above the most stable polymorph in this dataset is 88 kJ/mol of formula units.

No. 3
Computed, not measured: a geometry-optimized LiHfGa4 structure at the GGA-PBE level of DFT.

Lattice parameters (Å, degrees): 5.2782 5.2782 5.2782 60.00 60.00 60.00
Fractional coordinates of all 6 atoms:
Li (0.0000, 0.0000, 0.0000)
Hf (0.7500, 0.7500, 0.7500)
Ga (0.3751, 0.3751, 0.3751)
Ga (0.3751, 0.3751, 0.8746)
Ga (0.3751, 0.8746, 0.3751)
Ga (0.8746, 0.3751, 0.3751)

Its volume is 17.33 Å³ per atom. The formation energy comes out at -0.161 eV/atom. The uncorrected energy is -4.157 eV/atom.

No. 4
Computed, not measured: a geometry-optimized LiHfGa2 structure at the GGA-PBE level of DFT.

Lattice parameters (Å, degrees): 4.0974 4.0974 13.9195 90.00 90.00 120.00
Fractional coordinates of all 12 atoms:
Li (0.0000, 0.0000, 0.0000)
Li (0.3333, 0.6667, 0.6667)
Li (0.6667, 0.3333, 0.3333)
Hf (0.0000, 0.0000, 0.5000)
Hf (0.3333, 0.6667, 0.1667)
Hf (0.6667, 0.3333, 0.8333)
Ga (0.0000, 0.0000, 0.2820)
Ga (0.0000, 0.0000, 0.7180)
Ga (0.3333, 0.6667, 0.3846)
Ga (0.3333, 0.6667, 0.9487)
Ga (0.6667, 0.3333, 0.0513)
Ga (0.6667, 0.3333, 0.6154)

Its volume is 16.87 Å³ per atom. The formation energy comes out at -0.279 eV/atom. The uncorrected energy is -4.760 eV/atom. The energy above the most stable polymorph in this dataset is 46 kJ/mol of formula units.

No. 5
Computed, not measured: a geometry-optimized LiHfGa structure at the GGA-PBE level of DFT.

Lattice parameters (Å, degrees): 3.2144 4.5067 7.8122 106.64 94.42 90.02
Fractional coordinates of all 6 atoms:
Li (0.0000, 0.0000, 0.0000)
Li (0.5000, 0.5000, 0.0000)
Hf (0.0766, 0.6809, 0.3609)
Hf (0.9234, 0.3191, 0.6391)
Ga (0.4565, 0.8575, 0.7167)
Ga (0.5435, 0.1425, 0.2833)

Its volume is 18.01 Å³ per atom. The formation energy comes out at -0.245 eV/atom. The uncorrected energy is -5.210 eV/atom. The energy above the most stable polymorph in this dataset is 18 kJ/mol of formula units.

No. 6
Computed, not measured: a geometry-optimized LiHfGa structure at the GGA-PBE level of DFT.

Lattice parameters (Å, degrees): 4.3855 4.3855 3.0837 90.00 90.00 120.00
Fractional coordinates of all 3 atoms:
Li (0.0000, 0.0000, 0.0000)
Hf (0.6667, 0.3333, 0.5000)
Ga (0.3333, 0.6667, 0.0000)

Its volume is 17.12 Å³ per atom. The formation energy comes out at -0.220 eV/atom. The uncorrected energy is -5.185 eV/atom. The energy above the most stable polymorph in this dataset is 25 kJ/mol of formula units.

no.,DOS at the Fermi energy (states/eV/atom)
1,0.574
2,0.742
3,0.632
4,0.541
5,0.471
6,0.527